Below is a relaxed Li2MnCoO4 crystal, with properties calculated at the GGA+U level.

Computed properties:
density of states at the Fermi level	0.34	states/eV per atom
SG	P2_1/m, No. 11
energy above the most stable polymorph in this dataset	47	meV/atom

Lattice parameters (Å, degrees): 2.9515 5.1958 9.8500 79.87 90.00 90.00
With the nearest neighbours (Å) after each atom.
Positions (direct):
O (0.2500, 0.2805, 0.5057)  3 Mn 2.01-2.03, 1 Li 2.23
O (0.7500, 0.2428, 0.0004)  3 Li 2.02-2.05, 3 Co 2.04-2.06
O (0.2500, 0.9560, 0.2603)  1 Mn 1.89, 2 Li 2.05
O (0.7500, 0.5016, 0.2670)  2 Mn 1.97, 1 Li 2.06
O (0.7500, 0.7195, 0.4943)  3 Mn 2.01-2.03, 1 Li 2.23
O (0.7500, 0.0440, 0.7397)  1 Mn 1.89, 2 Li 2.05
O (0.2500, 0.7572, 0.9996)  3 Li 2.02-2.05, 3 Co 2.04-2.06
O (0.2500, 0.4984, 0.7330)  2 Mn 1.97, 1 Li 2.06
Co (0.7500, 0.8746, 0.1180)  6 O 2.04-2.22
Co (0.2500, 0.1254, 0.8820)  6 O 2.04-2.22
Mn (0.7500, 0.3796, 0.6275)  6 O 1.89-2.03
Mn (0.2500, 0.6204, 0.3725)  6 O 1.89-2.03
Li (0.2500, 0.3819, 0.1073)  3 O 2.02-2.05
Li (0.7500, 0.6181, 0.8927)  3 O 2.02-2.05
Li (0.7500, 0.1155, 0.3634)  4 O 2.05-2.23
Li (0.2500, 0.8845, 0.6366)  4 O 2.05-2.23